# KDySnWO6 PBE+U optimized geometry
# DFT total energy: -6.866 eV/atom
# density: 6.774 g/cm3
data_KDySnWO6
_space_group_name_H-M_alt 'P 1'
_space_group_IT_number 1
_cell_length_a 5.925
_cell_length_b 5.925
_cell_length_c 5.925
_cell_angle_alpha 60.00
_cell_angle_beta 60.00
_cell_angle_gamma 60.00
loop_
_space_group_symop_operation_xyz
'x,y,z'
loop_
_atom_site_label
_atom_site_type_symbol
_atom_site_fract_x
_atom_site_fract_y
_atom_site_fract_z
_atom_site_occupancy
K1 K 0.000 0.000 0.000 1
Dy1 Dy 0.750 0.750 0.750 1
Sn1 Sn 0.500 0.500 0.500 1
W1 W 0.250 0.250 0.250 1
O1 O 0.017 0.017 0.483 1
O2 O 0.017 0.483 0.017 1
O3 O 0.017 0.483 0.483 1
O4 O 0.483 0.017 0.017 1
O5 O 0.483 0.017 0.483 1
O6 O 0.483 0.483 0.017 1